Entry from Alexandria via LeMat-Bulk: an optimized crystal structure of MgGe2I (GGA-PBE).

Output
* space group: No. 225
* crystal system: cubic
* polymorph energy (0 for the lowest one): 0.000 kcal/mol of atoms
* E_tot: -10.6 eV per formula unit
* E_form (uncorrected): 0.452 eV/atom

a = 5.1498 Å, b = 5.1498 Å, c = 5.1498 Å
α = 60.00°, β = 60.00°, γ = 60.00°
Sites, in units of the cell vectors:
I1 0.5000 0.5000 0.5000
Ge1 0.2500 0.2500 0.2500
Ge2 0.7500 0.7500 0.7500
Mg1 0.0000 0.0000 0.0000